DFT (PBE) results for TbScTlCo after structural relaxation.

* formation enthalpy at 0 K: -1.10 eV/f.u.
* density of states at the Fermi level: 0.60 states/eV/atom
* total magnetization: 0.000 μB per atom
* symmetry: P4mm, No. 99
* E above lowest polymorph: 0 meV/atom

POSCAR file:
```
TbScTlCo
1.0
-2.484 -1.935 -0.925
1.346 -2.508 1.633
-4.013 2.058 6.469
Tb Sc Tl Co
1 1 1 1
direct
0.500 0.500 0.772
0.500 0.500 0.374
0.000 0.000 0.091
0.000 0.000 0.548
```